Material: Ta3BeOs
Method: DFT, PBE-GGA
State: relaxed

Values from the calculation:
ρ: 15.0 Mg/m³
Energy above the lowest structure with this stoichiometry: 0.530 eV per atom
Fermi-level density of states: 1.225 states/eV/atom
Crystal system: cubic
Magnetic moment: 0.0 μB/cell

abc: 4.3457 4.3457 4.3457
angles: 90.00 90.00 90.00
Closest atoms and distances in Å follow each position.
Atoms (fractional coordinates):
1 Be 0.0000 0.0000 0.0000  6 Ta 2.17
2 Os 0.5000 0.5000 0.5000  12 Ta 3.07
3 Ta 0.0000 0.5000 0.0000  2 Be 2.17
4 Ta 0.0000 0.0000 0.5000  2 Be 2.17
5 Ta 0.5000 0.0000 0.0000  2 Be 2.17